A plane-wave DFT calculation with GGA-PBEsol was carried out for an optimized crystal structure of NiAu3.

Lattice parameters (Å, degrees): 2.8413 4.5867 4.7552 90.00 90.00 90.00
Element x y z (fractional)
Au: 0.5000 0.0000 0.4911
Ni: 0.0000 0.5000 0.3376
Au: 0.5000 0.5000 0.8341
Au: 0.0000 0.0000 0.0039

Calculated values
**Formation energy from the elements**: 0.12 eV per atom
**E**: -4.366 eV/atom

***

A plane-wave DFT calculation with GGA-PBEsol was carried out for an optimized crystal structure of Sc2CdCu.

Lattice parameters (Å, degrees): 3.3502 4.7212 4.7981 90.00 90.00 90.00
Element x y z (fractional)
Sc: 0.0000 0.0000 0.1071
Sc: 0.0000 0.5000 0.6352
Cu: 0.5000 0.5000 0.1657
Cd: 0.5000 0.0000 0.5920

Calculated values
**Formation energy from the elements**: -0.23 eV per atom
**E**: -4.916 eV/atom

***

A plane-wave DFT calculation with GGA-PBEsol was carried out for an optimized crystal structure of HgPbAu2.

Lattice parameters (Å, degrees): 3.6367 4.8942 5.6302 115.76 108.84 90.00
Element x y z (fractional)
Hg: 0.4832 0.4832 0.9663
Pb: 0.2622 0.7622 0.5244
Au: 0.7389 0.2389 0.4778
Au: 0.0157 0.0157 0.0314

Calculated values
**E above lowest polymorph**: 68 meV per atom
**Formation energy from the elements**: 0.06 eV per atom
**E**: -3.048 eV/atom

***

A plane-wave DFT calculation with GGA-PBEsol was carried out for an optimized crystal structure of ZnIrCl2.

Lattice parameters (Å, degrees): 3.5425 3.5425 9.3058 79.03 79.03 60.00
Element x y z (fractional)
Ir: 0.5000 0.5000 0.5000
Zn: 0.0000 0.0000 0.0000
Cl: 0.1195 0.1195 0.6414
Cl: 0.8805 0.8805 0.3586

Calculated values
**E above lowest polymorph**: 518 meV per atom
**E**: -3.422 eV/atom
**ΔE_f (raw)**: 42 kJ per mole of atoms

***

A plane-wave DFT calculation with GGA-PBEsol was carried out for an optimized crystal structure of LiCr3O8.

Lattice parameters (Å, degrees): 4.9435 4.9435 6.1715 88.88 88.88 66.64
Element x y z (fractional)
Li: 0.0000 0.0000 0.0000
O: 0.7740 0.7740 0.4564
O: 0.2260 0.2260 0.5436
O: 0.7418 0.7418 0.0323
O: 0.7842 0.2709 0.2734
O: 0.2158 0.7291 0.7266
O: 0.2582 0.2582 0.9677
Cr: 0.6442 0.6442 0.2579
Cr: 0.3558 0.3558 0.7421
O: 0.2709 0.7842 0.2734
Cr: 0.0000 0.0000 0.5000
O: 0.7291 0.2158 0.7266

Calculated values
**E**: -8.074 eV/atom
**ΔE_f (raw)**: -178 kJ per mole of atoms

***

A plane-wave DFT calculation with GGA-PBEsol was carried out for an optimized crystal structure of Cu3Sn.

Lattice parameters (Å, degrees): 4.2912 4.7396 5.4046 90.00 90.00 90.00
Element x y z (fractional)
Cu: 0.5000 0.8441 0.2516
Cu: 0.0000 0.6968 0.5000
Cu: 0.5000 0.8441 0.7484
Cu: 0.0000 0.1559 0.7516
Sn: 0.5000 0.3416 0.5000
Cu: 0.0000 0.1559 0.2484
Sn: 0.0000 0.6584 0.0000
Cu: 0.5000 0.3032 0.0000

Calculated values
**Formation energy from the elements**: -0.01 eV per atom
**E**: -4.329 eV/atom